# 1
Compound: BaYTc3
Source: the Alexandria database
Functional: GGA-PBE
Structure: optimized geometry

## Properties
Symmetry: Pm-3m, No. 221
Volume in Å³ per cell: 124.4
DFT formation energy in eV/atom: 2.29
Energy above the lowest structure with this stoichiometry in meV per atom: 496
Final energy in eV/cell: -28.1
Crystal system: cubic

The structure in extended XYZ format:
```
5
Lattice="-4.582 1.611 1.152 -1.967 -4.050 -2.157 0.239 -2.434 4.352" Properties=species:S:1:pos:R:3 pbc="T T T"
Y -3.155 -2.436 1.674
Tc 0.119 -1.217 2.176
Tc -2.291 0.806 0.576
Tc -0.983 -2.025 -1.079
Ba 0.000 0.000 0.000
```

=====

# 2
Compound: BaYTc2
Source: the Alexandria database
Functional: GGA-PBE
Structure: optimized geometry

## Properties
Symmetry: F-43m, No. 216
Volume in Å³ per cell: 87.5
DFT formation energy in eV/atom: 0.94
Energy above the lowest structure with this stoichiometry in meV per atom: 605
Final energy in eV/cell: -25.3
Crystal system: cubic

The structure in extended XYZ format:
```
4
Lattice="-2.896 1.977 -3.541 -1.358 -2.748 -3.930 -4.728 -1.501 -0.477" Properties=species:S:1:pos:R:3 pbc="T T T"
Tc -2.246 -0.568 -1.987
Tc 0.000 0.000 0.000
Ba -4.491 -1.136 -3.974
Y -6.737 -1.704 -5.961
```

=====

# 3
Compound: BaY3Tc
Source: the Alexandria database
Functional: GGA-PBE
Structure: optimized geometry

## Properties
Symmetry: Pm-3m, No. 221
Volume in Å³ per cell: 164.8
DFT formation energy in eV/atom: 1.89
Energy above the lowest structure with this stoichiometry in meV per atom: 1810
Final energy in eV/cell: -22.2
Crystal system: cubic

The structure in extended XYZ format:
```
5
Lattice="-5.153 -0.067 -1.871 1.427 -3.686 -3.800 -1.211 -4.058 3.482" Properties=species:S:1:pos:R:3 pbc="T T T"
Y 0.714 -1.843 -1.900
Y -2.577 -0.033 -0.935
Y -0.606 -2.029 1.741
Tc -2.469 -3.905 -1.095
Ba 0.000 0.000 0.000
```

=====

# 4
Compound: BaYTc2
Source: the Alexandria database
Functional: GGA-PBE
Structure: optimized geometry

## Properties
Symmetry: C2/m, No. 12
Volume in Å³ per cell: 127.3
DFT formation energy in eV/atom: 0.45
Energy above the lowest structure with this stoichiometry in meV per atom: 111
Final energy in eV/cell: -27.3
Crystal system: monoclinic

The structure in extended XYZ format:
```
4
Lattice="-1.906 4.159 3.118 -4.717 1.560 2.442 -0.592 -1.208 7.109" Properties=species:S:1:pos:R:3 pbc="T T T"
Ba -1.804 1.128 3.167
Tc -7.041 4.620 11.527
Tc -3.782 2.147 7.477
Y -5.411 3.383 9.502
```

=====

# 5
Compound: BaYTc3
Source: the Alexandria database
Functional: GGA-PBE
Structure: optimized geometry

## Properties
Symmetry: Pm-3m, No. 221
Volume in Å³ per cell: 139.0
DFT formation energy in eV/atom: 1.79
Energy above the lowest structure with this stoichiometry in meV per atom: 0
Final energy in eV/cell: -30.5
Crystal system: cubic

The structure in extended XYZ format:
```
5
Lattice="5.180 0.000 0.000 0.000 5.180 0.000 0.000 0.000 5.180" Properties=species:S:1:pos:R:3 pbc="T T T"
Tc 2.590 0.000 0.000
Tc 0.000 2.590 0.000
Tc 0.000 0.000 2.590
Y 0.000 0.000 0.000
Ba 2.590 2.590 2.590
```

=====

# 6
Compound: BaYTc2
Source: the Alexandria database
Functional: GGA-PBE
Structure: optimized geometry

## Properties
Symmetry: Fm-3m, No. 225
Volume in Å³ per cell: 91.2
DFT formation energy in eV/atom: 0.97
Energy above the lowest structure with this stoichiometry in meV per atom: 626
Final energy in eV/cell: -25.3
Crystal system: cubic

The structure in extended XYZ format:
```
4
Lattice="-2.168 2.359 3.906 -2.595 4.269 -0.751 -5.030 0.014 0.467" Properties=species:S:1:pos:R:3 pbc="T T T"
Y 0.000 0.000 0.000
Tc -2.448 1.661 0.906
Tc -7.344 4.982 2.717
Ba -4.896 3.321 1.811
```

=====

# 7
Compound: BaYTc2
Source: the Alexandria database
Functional: GGA-PBE
Structure: optimized geometry

## Properties
Symmetry: C2/m, No. 12
Volume in Å³ per cell: 87.3
DFT formation energy in eV/atom: 1.00
Energy above the lowest structure with this stoichiometry in meV per atom: 660
Final energy in eV/cell: -25.1
Crystal system: monoclinic

The structure in extended XYZ format:
```
4
Lattice="-2.726 5.143 0.768 -1.350 -3.192 -4.469 -2.846 -1.215 0.820" Properties=species:S:1:pos:R:3 pbc="T T T"
Ba -2.038 0.976 -1.851
Y -2.098 -2.204 -1.825
Tc -2.786 1.964 0.794
Tc 0.000 0.000 0.000
```

=====

# 8
Compound: BaYTc2
Source: the Alexandria database
Functional: GGA-PBE
Structure: optimized geometry

## Properties
Symmetry: Imm2, No. 44
Volume in Å³ per cell: 118.4
DFT formation energy in eV/atom: 0.38
Energy above the lowest structure with this stoichiometry in meV per atom: 37
Final energy in eV/cell: -27.6
Crystal system: orthorhombic

The structure in extended XYZ format:
```
4
Lattice="-4.573 -0.321 -5.264 -4.222 -3.910 -3.952 -4.639 0.168 1.698" Properties=species:S:1:pos:R:3 pbc="T T T"
Tc -4.823 -0.026 1.219
Tc -9.661 -2.609 -4.550
Ba -3.501 -1.168 -2.257
Y -6.806 -2.125 -3.991
```

=====

# 9
Compound: BaYTc2
Source: the Alexandria database
Functional: GGA-PBE
Structure: optimized geometry

## Properties
Symmetry: P4/mmm, No. 123
Volume in Å³ per cell: 91.6
DFT formation energy in eV/atom: 0.94
Energy above the lowest structure with this stoichiometry in meV per atom: 605
Final energy in eV/cell: -25.3
Crystal system: tetragonal

The structure in extended XYZ format:
```
4
Lattice="-1.582 -3.512 3.293 0.456 -3.561 -3.577 3.372 -0.577 1.004" Properties=species:S:1:pos:R:3 pbc="T T T"
Y 0.895 -2.045 2.149
Ba 1.914 -2.069 -1.286
Tc 0.000 0.000 0.000
Tc -0.563 -3.536 -0.142
```

=====

# 10
Compound: BaYTc2
Source: the Alexandria database
Functional: GGA-PBE
Structure: optimized geometry

## Properties
Symmetry: I-42d, No. 122
Volume in Å³ per cell: 197.1
DFT formation energy in eV/atom: 1.27
Energy above the lowest structure with this stoichiometry in meV per atom: 930
Final energy in eV/cell: -48.1
Crystal system: tetragonal

The structure in extended XYZ format:
```
8
Lattice="8.079 0.000 0.000 0.000 8.079 0.000 4.039 4.039 3.019" Properties=species:S:1:pos:R:3 pbc="T T T"
Tc 10.098 9.989 2.264
Tc 6.059 6.168 2.264
Tc 2.129 6.059 0.755
Tc 5.950 2.020 0.755
Y 4.039 8.079 1.510
Y 4.039 4.039 0.000
Ba 0.000 0.000 0.000
Ba 8.079 4.039 1.510
```

=====

# 11
Compound: BaY3Tc
Source: the Alexandria database
Functional: GGA-PBE
Structure: optimized geometry

## Properties
Symmetry: Pm-3m, No. 221
Volume in Å³ per cell: 172.4
DFT formation energy in eV/atom: 0.08
Energy above the lowest structure with this stoichiometry in meV per atom: 0
Final energy in eV/cell: -31.3
Crystal system: cubic

The structure in extended XYZ format:
```
5
Lattice="5.565 0.000 0.000 0.000 5.565 0.000 0.000 0.000 5.565" Properties=species:S:1:pos:R:3 pbc="T T T"
Y 0.000 2.783 0.000
Y 2.783 0.000 0.000
Y 0.000 0.000 2.783
Ba 2.783 2.783 2.783
Tc 0.000 0.000 0.000
```

=====

# 12
Compound: BaY4Tc
Source: the Alexandria database
Functional: GGA-PBE
Structure: optimized geometry

## Properties
Symmetry: F-43m, No. 216
Volume in Å³ per cell: 195.8
DFT formation energy in eV/atom: 0.87
Final energy in eV/cell: -32.9
Crystal system: cubic

The structure in extended XYZ format:
```
6
Lattice="0.000 4.609 4.609 4.609 0.000 4.609 4.609 4.609 0.000" Properties=species:S:1:pos:R:3 pbc="T T T"
Y 5.780 5.780 3.438
Y 5.780 3.438 5.780
Y 3.438 5.780 5.780
Y 3.438 3.438 3.438
Tc 0.000 0.000 0.000
Ba 6.913 6.913 6.913
```

=====

| no. | N(E_F) (states/eV per cell) |
| --- | --- |
| 1 | 11.40 |
| 2 | 7.96 |
| 3 | 8.97 |
| 4 | 3.62 |
| 5 | 6.29 |
| 6 | 6.26 |
| 7 | 5.13 |
| 8 | 3.38 |
| 9 | 5.28 |
| 10 | 9.54 |
| 11 | 3.21 |
| 12 | 9.20 |